K2AlTe: optimized geometry, PBE.

a b c (Å): 3.617 3.617 10.584
angles (deg): 90.00 90.00 90.00
Element x y z (fractional)
K 0.000 0.000 0.018
K 0.000 0.000 0.482
Te 0.500 0.500 0.250
Al 0.500 0.500 0.750

Summary:
The value obtained for the energy is -2.351 eV per atom. For the energy relative to the lowest polymorph listed for this composition, the calculation gives 300 meV/atom. The uncorrected formation energy is -0.081 eV per atom. The calculation puts the calculated density at 2792 kg/m³.